DFT (GGA-PBE) results for a relaxed Th4Si2Br3 crystal.

Geometry as POSCAR:
```
Th4Si2Br3
1.0
3.6793 -2.1242 0.0000
3.6793 2.1242 0.0000
-0.0186 0.0000 17.9476
Th Si Br
4 2 3
direct
0.0007 0.0007 0.2854 Th
0.3336 0.3336 0.1144 Th
0.6664 0.6664 0.8856 Th
0.9993 0.9993 0.7146 Th
0.3329 0.3329 0.8004 Si
0.6671 0.6671 0.1996 Si
0.0000 0.0000 0.0000 Br
0.3343 0.3343 0.3931 Br
0.6657 0.6657 0.6069 Br
```

DFT (GGA-PBE) results for a relaxed ThSiBr crystal.

Geometry as POSCAR:
```
ThSiBr
1.0
3.5931 -2.0749 0.0000
3.5931 2.0749 0.0000
-2.4352 0.0000 11.6128
Th Si Br
2 2 2
direct
0.0546 0.0546 0.1609 Th
0.9454 0.9454 0.8391 Th
0.3333 0.3333 0.9998 Si
0.6667 0.6667 0.0002 Si
0.2195 0.2195 0.6636 Br
0.7805 0.7805 0.3364 Br
```

DFT (GGA-PBE) results for a relaxed TiSi2Br crystal.

Geometry as POSCAR:
```
TiSi2Br
1.0
-3.0280 3.0280 6.0610
3.0280 -3.0280 6.0610
3.0280 3.0280 -6.0610
Ti Si Br
2 4 2
direct
0.0000 0.0000 0.0000 Ti
0.7500 0.2500 0.5000 Ti
0.0864 0.6250 0.9614 Si
0.3750 0.3364 0.4614 Si
0.6636 0.1250 0.0386 Si
0.8750 0.9136 0.5386 Si
0.2500 0.7500 0.5000 Br
0.5000 0.5000 0.0000 Br
```

For the energy relative to the lowest polymorph listed for this composition, the calculation gives 79 meV/atom.

| no. | formation energy from raw total energies (eV/atom) | size of the total moment (μB/cell) |
| --- | --- | --- |
| 1 | -1.0585 | 0.0 |
| 2 | -1.1513 | 0.0 |
| 3 | 0.7989 | 0.0 |